VASP calculation (PBE-GGA) on a geometry-optimized K2SrAs2 structure.

Cell: 4.687 4.687 7.919 Å, 72.79 72.79 90.00°
Element x y z (fractional)
As (0.413, 0.413, 0.174)
Sr (0.000, 0.000, 0.000)
As (0.587, 0.587, 0.826)
K (0.250, 0.750, 0.500)
K (0.750, 0.250, 0.500)

Calculated formation energy: -0.449 eV/atom
Fermi-level density of states: 0.34 states/eV/atom
SG: I4/mmm, No. 139
DFT total energy: -15.42 eV per cell